DFT (PBE) results for a relaxed LiNi2Hg crystal.

Calculated values
ΔE_f	0.31	eV/atom
M_tot	1.85	Bohr magnetons per cell
volume	176.31	Å³ per cell

Cell lengths 2.8277, 2.8277, 25.4618 Å; angles 90.00, 90.00, 120.00 degrees
Space group R-3m (No. 166, hexagonal axes)
Inequivalent atoms, fractional coordinates:
Li (0.0000, 0.0000, 0.0000)
Ni (0.0000, 0.0000, 0.2537)
Hg (0.0000, 0.0000, 0.5000)


DFT (PBE) results for a relaxed Y4TlSe6 crystal.

Calculated values
M_tot	0.00	Bohr magnetons per cell
volume	1228.85	Å³ per cell
formation energy (no corrections)	-1.650	eV/atom

Cell lengths 4.132, 13.701, 21.707 Å; angles 90.00, 90.00, 90.00 degrees
Space group Cmcm (No. 63)
Inequivalent atoms, fractional coordinates:
Y (0.000, 0.094, 0.132)
Y (0.000, 0.366, 0.041)
Tl (0.000, 0.164, 0.750)
Se (0.000, 0.000, 0.000)
Se (0.000, 0.163, 0.250)
Se (0.000, 0.272, 0.581)
Se (0.000, 0.460, 0.154)


DFT (PBE) results for a relaxed ErPuPt2 crystal.

Calculated values
ΔE_f	-0.99	eV/atom
M_tot	5.66	Bohr magnetons per cell
volume	84.77	Å³ per cell

Cell lengths 3.436, 3.436, 7.179 Å; angles 90.00, 90.00, 90.00 degrees
Space group P4/mmm (No. 123)
Inequivalent atoms, fractional coordinates:
Er (0.000, 0.000, 0.000)
Pu (0.000, 0.000, 0.500)
Pt (0.500, 0.500, 0.233)


DFT (PBE) results for a relaxed HfCo2Pd crystal.

Calculated values
ΔE_f	0.14	eV/atom
M_tot	9.09	Bohr magnetons per cell
volume	251.62	Å³ per cell

Cell lengths 3.742, 3.742, 17.970 Å; angles 90.00, 90.00, 90.00 degrees
Space group I-42d (No. 122)
Inequivalent atoms, fractional coordinates:
Hf (0.000, 0.000, 0.000)
Co (0.210, 0.250, 0.625)
Pd (0.000, 0.000, 0.500)


DFT (PBE) results for a relaxed Ho2Tm2Tl3 crystal.

Calculated values
ΔE_f	-0.17	eV/atom
energy above the lowest structure with this stoichiometry	2.2	kJ/mol of atoms
M_tot	0.00	Bohr magnetons per cell
volume	202.61	Å³ per cell

Cell lengths 3.724, 6.956, 8.753 Å; angles 68.87, 89.95, 74.48 degrees
Space group P-1 (No. 2)
Inequivalent atoms, fractional coordinates:
Ho (0.113, 0.275, 0.445)
Tm (0.380, 0.743, 0.184)
Tl (0.000, 0.500, 0.000)
Tl (0.302, 0.894, 0.783)


DFT (PBE) results for a relaxed YScTc2 crystal.

Calculated values
ΔE_f	0.15	eV/atom
energy above the lowest structure with this stoichiometry	19.5	kJ/mol of atoms
M_tot	0.00	Bohr magnetons per cell
volume	294.42	Å³ per cell

Cell lengths 6.653, 6.653, 6.653 Å; angles 90.00, 90.00, 90.00 degrees
Space group F-43m (No. 216)
Inequivalent atoms, fractional coordinates:
Y (0.000, 0.000, 0.000)
Sc (0.250, 0.250, 0.250)
Tc (0.000, 0.000, 0.500)
Tc (0.250, 0.250, 0.750)


So what do the calculations give for uncorrected energy? Going down the list: -3.131, -6.116, -8.733, -7.195, -3.768, -8.231 eV per atom.